5
Lattice="5.182 0.000 0.000 0.000 5.182 0.000 0.000 0.000 4.099" Properties=species:S:1:pos:R:3 comment="SrCdW2N, relaxed, DFT GGA-PBEsol" magmom_total_mub_per_cell=2.31 formation_energy_uncorrected_ev_per_atom=2.738 rho_g_cm3=8.78 pbc="T T T"
Sr 0.000 0.000 0.000
Cd 2.591 2.591 2.049
W 0.000 2.591 2.049
W 2.591 0.000 2.049
N 2.591 2.591 0.000

***

16
Lattice="5.033 0.000 0.000 0.000 5.033 0.000 0.000 0.000 9.581" Properties=species:S:1:pos:R:3 comment="TaCdN2, relaxed, DFT GGA-PBEsol" magmom_total_mub_per_cell=0.00 formation_energy_uncorrected_ev_per_atom=-0.430 rho_g_cm3=8.79 pbc="T T T"
Ta 0.000 0.000 0.000
Ta 0.000 2.517 2.395
Ta 2.517 0.000 7.186
Ta 2.517 2.517 4.791
Cd 0.000 0.000 4.791
Cd 0.000 2.517 7.186
Cd 2.517 0.000 2.395
Cd 2.517 2.517 0.000
N 0.920 1.258 1.198
N 1.258 3.436 3.593
N 1.258 4.113 8.383
N 1.597 1.258 5.988
N 3.436 3.775 5.988
N 3.775 0.920 8.383
N 3.775 1.597 3.593
N 4.113 3.775 1.198

***

5
Lattice="4.029 0.000 0.000 0.000 4.029 0.000 0.000 0.000 6.285" Properties=species:S:1:pos:R:3 comment="CdTe2N2, relaxed, DFT GGA-PBEsol" magmom_total_mub_per_cell=0.00 formation_energy_uncorrected_ev_per_atom=1.145 rho_g_cm3=6.44 pbc="T T T"
Cd 0.000 0.000 0.000
Te 2.015 2.015 0.000
Te 2.015 2.015 3.143
N 0.000 2.015 3.143
N 2.015 0.000 3.143

***

5
Lattice="4.775 0.000 0.000 0.000 4.775 0.000 0.000 0.000 4.775" Properties=species:S:1:pos:R:3 comment="CdTe3N, relaxed, DFT GGA-PBEsol" magmom_total_mub_per_cell=0.00 formation_energy_uncorrected_ev_per_atom=0.538 rho_g_cm3=7.77 pbc="T T T"
Cd 0.000 0.000 0.000
Te 0.000 2.387 2.387
Te 2.387 0.000 2.387
Te 2.387 2.387 0.000
N 2.387 2.387 2.387

***

5
Lattice="4.434 0.000 0.000 0.000 4.434 0.000 0.000 0.000 5.475" Properties=species:S:1:pos:R:3 comment="YCd2TeN, relaxed, DFT GGA-PBEsol" magmom_total_mub_per_cell=0.00 formation_energy_uncorrected_ev_per_atom=0.174 rho_g_cm3=7.03 pbc="T T T"
Y 0.000 0.000 0.000
Cd 0.000 2.217 2.737
Cd 2.217 0.000 2.737
Te 2.217 2.217 0.000
N 2.217 2.217 2.737

***

5
Lattice="4.231 0.000 0.000 0.000 4.231 0.000 0.000 0.000 3.985" Properties=species:S:1:pos:R:3 comment="TiZn2CdN, relaxed, DFT GGA-PBEsol" magmom_total_mub_per_cell=0.00 formation_energy_uncorrected_ev_per_atom=-0.162 rho_g_cm3=7.10 pbc="T T T"
Ti 0.000 0.000 0.000
Zn 0.000 2.116 1.993
Zn 2.116 0.000 1.993
Cd 2.116 2.116 0.000
N 0.000 0.000 1.993

***

12
Lattice="3.555 0.000 0.000 -1.778 3.079 0.000 0.000 0.000 18.517" Properties=species:S:1:pos:R:3 comment="TlCdN2, relaxed, DFT GGA-PBEsol" magmom_total_mub_per_cell=0.00 polymorph_energy_kj_per_mol_atoms=0.00 formation_energy_uncorrected_ev_per_atom=1.116 rho_g_cm3=8.47 pbc="T T T"
Tl 0.000 0.000 0.000
Tl 0.000 2.053 12.345
Tl 1.778 1.026 6.172
Cd 0.000 0.000 9.259
Cd 0.000 2.053 3.086
Cd 1.778 1.026 15.431
N 0.000 0.000 2.011
N 0.000 0.000 16.506
N 0.000 2.053 10.334
N 0.000 2.053 14.356
N 1.778 1.026 4.161
N 1.778 1.026 8.183

***

16
Lattice="5.993 0.000 0.000 0.000 5.993 0.000 0.000 0.000 5.993" Properties=species:S:1:pos:R:3 comment="TlCdN2, relaxed, DFT GGA-PBEsol" magmom_total_mub_per_cell=5.23 polymorph_energy_kj_per_mol_atoms=34.59 formation_energy_uncorrected_ev_per_atom=1.475 rho_g_cm3=10.64 pbc="T T T"
Tl 0.000 0.000 0.000
Tl 0.000 2.997 2.997
Tl 2.997 0.000 2.997
Tl 2.997 2.997 0.000
Cd 0.000 0.000 2.997
Cd 0.000 2.997 0.000
Cd 2.997 0.000 0.000
Cd 2.997 2.997 2.997
N 1.498 1.498 1.498
N 1.498 1.498 4.495
N 1.498 4.495 1.498
N 1.498 4.495 4.495
N 4.495 1.498 1.498
N 4.495 1.498 4.495
N 4.495 4.495 1.498
N 4.495 4.495 4.495

***

5
Lattice="3.958 0.000 0.000 0.000 3.958 0.000 0.000 0.000 3.958" Properties=species:S:1:pos:R:3 comment="CdWN3, relaxed, DFT GGA-PBEsol" magmom_total_mub_per_cell=0.00 formation_energy_uncorrected_ev_per_atom=0.342 rho_g_cm3=9.06 pbc="T T T"
Cd 0.000 0.000 0.000
W 1.979 1.979 1.979
N 0.000 1.979 1.979
N 1.979 0.000 1.979
N 1.979 1.979 0.000

***

5
Lattice="3.972 0.000 0.000 0.000 3.972 0.000 0.000 0.000 3.972" Properties=species:S:1:pos:R:3 comment="CdWN3, relaxed, DFT GGA-PBEsol" magmom_total_mub_per_cell=1.02 formation_energy_uncorrected_ev_per_atom=2.630 rho_g_cm3=8.96 pbc="T T T"
Cd 0.000 0.000 0.000
W 1.986 1.986 1.986
N 0.000 0.000 1.986
N 0.000 1.986 0.000
N 1.986 0.000 0.000

***

10
Lattice="-3.379 4.745 3.364 3.379 -4.745 3.364 3.379 4.745 -3.364" Properties=species:S:1:pos:R:3 comment="Y3CdN, relaxed, DFT GGA-PBEsol" magmom_total_mub_per_cell=0.00 formation_energy_uncorrected_ev_per_atom=-0.980 rho_g_cm3=6.05 pbc="T T T"
Y 1.690 4.490 -1.682
Y 1.690 -0.255 1.682
Y 0.000 2.373 0.362
Y 3.379 2.373 3.002
Y -1.690 5.001 1.682
Y 1.690 5.001 1.682
Cd 3.379 2.373 -0.023
Cd 0.000 2.373 3.387
N 0.000 0.000 0.000
N 0.000 4.745 0.000

***

16
Lattice="6.836 0.000 0.000 0.000 6.836 0.000 0.000 0.000 6.836" Properties=species:S:1:pos:R:3 comment="Y2CdN, relaxed, DFT GGA-PBEsol" magmom_total_mub_per_cell=0.01 formation_energy_uncorrected_ev_per_atom=0.214 rho_g_cm3=6.33 pbc="T T T"
Y 1.709 1.709 1.709
Y 1.709 1.709 5.127
Y 1.709 5.127 1.709
Y 1.709 5.127 5.127
Y 5.127 1.709 1.709
Y 5.127 1.709 5.127
Y 5.127 5.127 1.709
Y 5.127 5.127 5.127
Cd 0.000 0.000 0.000
Cd 0.000 3.418 3.418
Cd 3.418 0.000 3.418
Cd 3.418 3.418 0.000
N 0.000 0.000 3.418
N 0.000 3.418 0.000
N 3.418 0.000 0.000
N 3.418 3.418 3.418

***

5
Lattice="4.766 0.000 0.000 0.000 4.766 0.000 0.000 0.000 4.766" Properties=species:S:1:pos:R:3 comment="Y3CdN, relaxed, DFT GGA-PBEsol" magmom_total_mub_per_cell=0.00 formation_energy_uncorrected_ev_per_atom=-0.967 rho_g_cm3=6.03 pbc="T T T"
Y 0.000 0.000 2.383
Y 0.000 2.383 0.000
Y 2.383 0.000 0.000
Cd 2.383 2.383 2.383
N 0.000 0.000 0.000

***

16
Lattice="4.919 0.000 0.000 0.000 4.919 0.000 0.000 0.000 8.903" Properties=species:S:1:pos:R:3 comment="ZnCdN2, relaxed, DFT GGA-PBEsol" magmom_total_mub_per_cell=0.01 formation_energy_uncorrected_ev_per_atom=0.770 rho_g_cm3=6.35 pbc="T T T"
Zn 0.000 0.000 0.000
Zn 0.000 2.460 2.226
Zn 2.460 0.000 6.677
Zn 2.460 2.460 4.452
Cd 0.000 0.000 4.452
Cd 0.000 2.460 6.677
Cd 2.460 0.000 2.226
Cd 2.460 2.460 0.000
N 1.020 1.230 1.113
N 1.230 3.479 3.339
N 1.230 3.900 7.790
N 1.440 1.230 5.565
N 3.479 3.690 5.565
N 3.690 1.020 7.790
N 3.690 1.440 3.339
N 3.900 3.690 1.113